DFT (GGA-PBE) results for an optimized crystal structure of HoTlCuPd.

Properties
Space-group type = F-43m
Total magnetic moment = 0.00 μB/f.u.
Mass density = 11.5 Mg/m³

Cell: 4.797 4.797 4.797 Å, 60.00 60.00 60.00°
Fractional coordinates of all 4 atoms:
Ho1 0.000 0.000 0.000
Tl1 0.500 0.500 0.500
Cu1 0.750 0.750 0.750
Pd1 0.250 0.250 0.250

DFT (GGA-PBE) results for an optimized crystal structure of HoTmCuPd.

Properties
Space-group type = F-43m
Total magnetic moment = 0.00 μB/f.u.
Distance to the lowest polymorph of the same formula = 0.028 eV/atom
Mass density = 10.1 Mg/m³

Cell: 4.895 4.895 4.895 Å, 60.00 60.00 60.00°
Fractional coordinates of all 4 atoms:
Ho1 0.000 0.000 0.000
Tm1 0.500 0.500 0.500
Cu1 0.250 0.250 0.250
Pd1 0.750 0.750 0.750

DFT (GGA-PBE) results for an optimized crystal structure of HoTmCuPd.

Properties
Space-group type = Amm2
Total magnetic moment = 0.00 μB/f.u.
Distance to the lowest polymorph of the same formula = 0.000 eV/atom
Mass density = 9.7 Mg/m³

Cell: 4.526 5.487 5.487 Å, 39.14 90.00 90.00°
Fractional coordinates of all 4 atoms:
Ho1 0.000 0.000 0.000
Tm1 0.500 0.722 0.722
Cu1 0.000 0.281 0.281
Pd1 0.500 0.439 0.439

| no. | DFT total energy (eV/atom) | ΔH_f (0 K) (eV per atom) |
| --- | --- | --- |
| 1 | -4.448 | -0.390 |
| 2 | -5.181 | -0.597 |
| 3 | -5.209 | -0.625 |